{"formula": "Cs2GaRhCl", "functional": "PBE", "state": "optimized geometry", "cell": [[6.882, 0.000, 0.000], [0.000, 6.882, 0.000], [0.000, 0.000, 4.491]], "species": ["Cs", "Cs", "Ga", "Rh", "Cl"], "fractional_positions": [[0.000, 0.500, 0.000], [0.500, 0.000, 0.000], [0.000, 0.000, 0.500], [0.500, 0.500, 0.000], [0.500, 0.500, 0.500]], "sg": "P4/mmm", "e_form_raw_ev_per_atom": 0.0842}

=====

{"formula": "Cs2GaRuCl6", "functional": "PBE", "state": "optimized geometry", "cell": [[0.000, 5.275, 5.275], [5.275, 0.000, 5.275], [5.275, 5.275, 0.000]], "species": ["Cs", "Cs", "Ga", "Ru", "Cl", "Cl", "Cl", "Cl", "Cl", "Cl"], "fractional_positions": [[0.250, 0.250, 0.250], [0.750, 0.750, 0.750], [0.000, 0.000, 0.000], [0.500, 0.500, 0.500], [0.272, 0.272, 0.728], [0.272, 0.728, 0.272], [0.272, 0.728, 0.728], [0.728, 0.272, 0.272], [0.728, 0.272, 0.728], [0.728, 0.728, 0.272]], "sg": "Fm-3m", "e_form_raw_ev_per_atom": -1.1750}

=====

{"formula": "Cs2GaSbCl6", "functional": "PBE", "state": "optimized geometry", "cell": [[0.000, 5.544, 5.544], [5.544, 0.000, 5.544], [5.544, 5.544, 0.000]], "species": ["Cs", "Cs", "Ga", "Sb", "Cl", "Cl", "Cl", "Cl", "Cl", "Cl"], "fractional_positions": [[0.250, 0.250, 0.250], [0.750, 0.750, 0.750], [0.000, 0.000, 0.000], [0.500, 0.500, 0.500], [0.259, 0.259, 0.741], [0.259, 0.741, 0.259], [0.259, 0.741, 0.741], [0.741, 0.259, 0.259], [0.741, 0.259, 0.741], [0.741, 0.741, 0.259]], "sg": "Fm-3m", "e_form_raw_ev_per_atom": -1.3517}

=====

{"formula": "Cs2ScGaCl6", "functional": "PBE", "state": "optimized geometry", "cell": [[0.000, 5.448, 5.448], [5.448, 0.000, 5.448], [5.448, 5.448, 0.000]], "species": ["Cs", "Cs", "Sc", "Ga", "Cl", "Cl", "Cl", "Cl", "Cl", "Cl"], "fractional_positions": [[0.250, 0.250, 0.250], [0.750, 0.750, 0.750], [0.000, 0.000, 0.000], [0.500, 0.500, 0.500], [0.230, 0.230, 0.770], [0.230, 0.770, 0.230], [0.230, 0.770, 0.770], [0.770, 0.230, 0.230], [0.770, 0.230, 0.770], [0.770, 0.770, 0.230]], "sg": "Fm-3m", "e_form_raw_ev_per_atom": -1.8463}

=====

{"formula": "Cs2GaSeCl6", "functional": "PBE", "state": "optimized geometry", "cell": [[-3.954, 3.954, 5.147], [3.954, -3.954, 5.147], [3.954, 3.954, -5.147]], "species": ["Cs", "Cs", "Ga", "Se", "Cl", "Cl", "Cl", "Cl", "Cl", "Cl"], "fractional_positions": [[0.250, 0.750, 0.500], [0.750, 0.250, 0.500], [0.000, 0.000, 0.000], [0.500, 0.500, 0.000], [0.209, 0.209, 0.417], [0.209, 0.791, 0.000], [0.265, 0.265, 0.000], [0.735, 0.735, 0.000], [0.791, 0.209, 0.000], [0.791, 0.791, 0.583]], "sg": "I4/mmm", "e_form_raw_ev_per_atom": -1.1631}

=====

{"formula": "Cs2GaSn2Cl7", "functional": "PBE", "state": "optimized geometry", "cell": [[3.601, -4.381, 0.000], [3.601, 4.381, 0.000], [-2.164, 0.000, 14.068]], "species": ["Cs", "Cs", "Ga", "Sn", "Sn", "Cl", "Cl", "Cl", "Cl", "Cl", "Cl", "Cl"], "fractional_positions": [[0.203, 0.203, 0.360], [0.797, 0.797, 0.640], [0.000, 0.000, 0.000], [0.373, 0.373, 0.806], [0.627, 0.627, 0.194], [0.090, 0.695, 0.174], [0.277, 0.277, 0.605], [0.305, 0.910, 0.826], [0.500, 0.500, 0.000], [0.695, 0.090, 0.174], [0.723, 0.723, 0.395], [0.910, 0.305, 0.826]], "sg": "C2/m", "e_form_raw_ev_per_atom": -1.2550}